(1)
12
Lattice="-2.820 0.651 2.819 4.863 -3.205 5.606 3.346 7.788 1.550" Properties=species:S:1:pos:R:3 comment="CeHoSe PBE-GGA optimized geometry" crystal_system=tetragonal de_polymorph_ev_per_atom=0.000 raw_formation_energy_mev_per_atom=-1040.2 dft_energy_ev_per_cell=-68.47 pbc="T T T"
Ho 4.260 2.619 8.001
Se 3.115 -0.047 7.471
Ho 1.129 2.615 1.973
Se 0.684 1.556 4.668
Ho 1.829 4.222 5.198
Ce 3.551 -2.639 5.610
Ce 1.838 7.873 4.364
Ce 1.120 -1.037 2.807
Se 2.274 5.280 2.503
Ho 3.560 1.012 4.776
Ce 4.269 6.270 7.167
Se 4.705 3.678 5.306


(2)
3
Lattice="-4.200 -1.710 -2.162 -1.925 -4.423 1.402 -4.286 -0.158 2.616" Properties=species:S:1:pos:R:3 comment="CaTmGa PBE-GGA optimized geometry" crystal_system=cubic de_polymorph_ev_per_atom=0.094 formation_enthalpy_0k_ev_per_atom=-0.22 dft_energy_ev_per_cell=-10.15 pbc="T T T"
Ca 0.000 0.000 0.000
Tm -5.206 -3.146 0.928
Ga -2.603 -1.573 0.464


(3)
4
Lattice="3.911 0.000 0.000 0.000 3.918 -0.013 0.000 1.961 4.760" Properties=species:S:1:pos:R:3 comment="BeSb2Rh PBE-GGA optimized geometry" crystal_system=monoclinic raw_formation_energy_mev_per_atom=-133.0 dft_energy_ev_per_cell=-19.85 pbc="T T T"
Be 0.000 3.680 2.281
Rh 1.955 3.673 3.567
Sb 0.000 5.635 4.378
Sb 1.955 1.711 1.642


(4)
20
Lattice="9.625 0.000 0.000 0.000 9.443 0.000 0.000 0.000 6.577" Properties=species:S:1:pos:R:3 comment="Na3LaTc PBE-GGA optimized geometry" crystal_system=orthorhombic de_polymorph_ev_per_atom=0.463 formation_enthalpy_0k_ev_per_atom=0.50 dft_energy_ev_per_cell=-67.06 pbc="T T T"
Na 1.136 7.082 1.013
Tc 4.812 0.000 0.000
Na 3.110 5.133 2.723
Tc 4.812 4.722 0.000
Na 3.676 2.361 4.301
Na 1.703 4.310 6.011
Na 1.703 0.411 6.011
La 5.081 2.361 0.710
Tc 0.000 0.000 3.288
La 0.269 2.361 2.579
Na 6.515 4.310 3.854
Na 6.515 0.411 3.854
Na 5.948 7.082 2.276
Na 7.922 5.133 0.565
Na 8.489 2.361 5.564
Na 7.922 9.032 0.565
Tc 0.000 4.722 3.288
Na 3.110 9.032 2.723
La 9.356 7.082 3.998
La 4.543 7.082 5.867


(5)
4
Lattice="-2.107 1.300 1.103 0.193 -2.231 2.998 3.411 3.502 2.386" Properties=species:S:1:pos:R:3 comment="CrReRu2 PBE-GGA optimized geometry" crystal_system=orthorhombic de_polymorph_ev_per_atom=0.041 formation_enthalpy_0k_ev_per_atom=0.11 dft_energy_ev_per_cell=-40.19 pbc="T T T"
Ru 3.400 3.491 2.379
Cr 1.660 1.704 1.161
Ru -0.033 0.483 2.697
Re 1.586 2.145 3.830


(6)
8
Lattice="-1.682 -0.744 4.468 5.226 -6.679 0.855 4.319 7.286 2.840" Properties=species:S:1:pos:R:3 comment="Ba4GeAsI2 PBE-GGA optimized geometry" crystal_system=monoclinic raw_formation_energy_mev_per_atom=-1195.3 dft_energy_ev_per_cell=-29.62 pbc="T T T"
Ba 6.607 0.278 5.147
I 1.318 3.271 3.654
Ba 4.769 4.034 2.467
Ba 1.254 -0.415 3.016
I 4.772 0.303 1.847
As 0.000 0.000 0.000
Ba 4.775 -3.427 1.227
Ge 1.772 -3.712 2.662


(7)
5
Lattice="5.365 0.000 0.000 0.000 5.365 0.000 0.000 0.000 5.365" Properties=species:S:1:pos:R:3 comment="LaY3S PBE-GGA optimized geometry" crystal_system=cubic de_polymorph_ev_per_atom=0.000 raw_formation_energy_mev_per_atom=-669.0 dft_energy_ev_per_cell=-31.79 pbc="T T T"
Y 2.682 0.000 0.000
Y 0.000 0.000 2.682
La 2.682 2.682 2.682
S 0.000 0.000 0.000
Y 0.000 2.682 0.000


(8)
7
Lattice="-0.589 2.737 2.111 -4.804 1.502 -0.377 -2.852 -2.609 5.497" Properties=species:S:1:pos:R:3 comment="Bi2H2Rh3 PBE-GGA optimized geometry" crystal_system=monoclinic dft_energy_ev_per_cell=-36.58 pbc="T T T"
H -2.374 2.468 1.961
Rh -2.592 0.681 1.305
Rh -5.652 0.949 5.927
Bi -3.183 0.103 4.801
Bi -5.061 1.527 2.430
Rh 0.000 0.000 0.000
H -5.870 -0.838 5.270


Volume, record by record: 23.5 29.9 18.3 29.9 13.8 43.7 30.9 15.2 Å³ per atom
DOS(E_F), record by record: 4.43 1.57 2.13 2.51 4.94 6.26 10.00 3.53 states/eV/f.u.